Entry from the Alexandria database: a relaxed structure of LiTiAl (PBE-GGA).

The structure in POSCAR format:
```
LiTiAl
1.0
-0.1144 3.3358 6.2619
-3.2681 3.1488 5.4549
-0.3004 -3.9187 2.0821
Li Al Ti
2 2 2
Direct
0.5000 0.5000 0.6849
0.0000 0.0000 0.1856
0.8296 0.8296 0.6808
0.1704 0.1704 0.6808
0.3268 0.3268 0.1809
0.6732 0.6732 0.1809
```

Polymorph energy (0 for the lowest one) (meV/atom): 73
Symmetry: No. 35
Density of states at the Fermi level (states/eV/f.u.): 1.99
Calculated formation energy (eV/atom): -0.135